# 1
The following is a DFT calculation (GGA-PBE) of crystalline K2NiMo at its relaxed geometry. Values from VASP.

Crystal system: monoclinic
E above lowest polymorph: 0 meV/atom
Volume: 28.52 Å³/atom
DFT formation energy: 3.11 eV/f.u.

Cell and atoms, written as Quantum ESPRESSO input:
```
&SYSTEM
  ibrav = 0, nat = 4, ntyp = 3
/
ATOMIC_SPECIES
K 39.10 K.upf
Ni 58.69 Ni.upf
Mo 95.94 Mo.upf
ATOMIC_POSITIONS crystal
K 0.000 0.000 0.000
K 0.239 0.500 0.422
Ni 0.401 0.500 0.762
Mo 0.866 0.000 0.685
CELL_PARAMETERS angstrom
2.860 0.000 0.000
0.000 3.819 0.000
-1.333 0.000 10.447
```



# 2
The following is a DFT calculation (GGA-PBE) of crystalline KNi3Mo at its relaxed geometry. Values from VASP.

Crystal system: cubic
E above lowest polymorph: 1242 meV/atom
Volume: 17.33 Å³/atom
DFT formation energy: 11.63 eV/f.u.

Cell and atoms, written as Quantum ESPRESSO input:
```
&SYSTEM
  ibrav = 0, nat = 5, ntyp = 3
/
ATOMIC_SPECIES
K 39.10 K.upf
Ni 58.69 Ni.upf
Mo 95.94 Mo.upf
ATOMIC_POSITIONS crystal
K 0.000 0.000 0.000
Ni 0.000 0.000 0.500
Ni 0.000 0.500 0.000
Ni 0.500 0.000 0.000
Mo 0.500 0.500 0.500
CELL_PARAMETERS angstrom
4.425 0.000 0.000
0.000 4.425 0.000
0.000 0.000 4.425
```



# 3
The following is a DFT calculation (GGA-PBE) of crystalline KNi2Mo at its relaxed geometry. Values from VASP.

Crystal system: tetragonal
E above lowest polymorph: 921 meV/atom
Volume: 16.27 Å³/atom
DFT formation energy: 5.50 eV/f.u.

Cell and atoms, written as Quantum ESPRESSO input:
```
&SYSTEM
  ibrav = 0, nat = 4, ntyp = 3
/
ATOMIC_SPECIES
K 39.10 K.upf
Ni 58.69 Ni.upf
Mo 95.94 Mo.upf
ATOMIC_POSITIONS crystal
K 0.000 0.000 0.000
Ni 0.500 0.500 0.000
Ni 0.750 0.250 0.500
Mo 0.250 0.750 0.500
CELL_PARAMETERS angstrom
-1.912 1.912 4.449
1.912 -1.912 4.449
1.912 1.912 -4.449
```